A plane-wave DFT calculation with PBE-GGA was carried out for crystalline CaRhPb at its relaxed geometry.

Computed properties:
Uncorrected energy (eV/cell): -28.21

Lattice parameters (Å, degrees): 3.5523 3.5523 10.8971 90.00 90.00 90.00
Space group I4mm (No. 107)
Unique sites:
Ca 0.0000 0.0000 0.0000 [2 per cell]
Rh 0.0000 0.0000 0.3290 [2 per cell]
Pb 0.0000 0.0000 0.7081 [2 per cell]